(1)
## KSrZr (PBE)

Data for a relaxed structure of KSrZr.

Values from the calculation:
Formation enthalpy at 0 K in eV per atom: 0.87
Energy above the most stable polymorph in this dataset in meV/atom: 196
Space-group type: P3m1
Volume in Å³/cell: 115.5
Final energy in eV/atom: -2.9053

Cell lengths 6.2996, 6.2996, 3.3601 Å; angles 90.00, 90.00, 120.00 degrees
Each line ends with the local moment (μB).
Fractional coordinates of all 3 atoms:
Zr1 0.3333 0.6667 0.6860  0.64
K1 0.0000 0.0000 0.0613  0.01
Sr1 0.6667 0.3333 0.2527  0.06



(2)
## PrThMg4 (PBE)

Data for a relaxed structure of PrThMg4.

Values from the calculation:
Formation enthalpy at 0 K in eV per atom: -0.03
Space-group type: Cmcm
Volume in Å³/cell: 326.1
Final energy in eV/atom: -3.1304

Cell lengths 9.7685, 9.7685, 5.2877 Å; angles 90.00, 90.00, 139.74 degrees
Fractional coordinates of all 12 atoms:
Th1 0.8751 0.1249 0.2500
Mg1 0.5435 0.9603 0.7500
Pr1 0.6247 0.3753 0.7500
Mg2 0.4565 0.0397 0.2500
Mg3 0.7967 0.7132 0.2500
Mg4 0.7132 0.7967 0.7500
Pr2 0.3753 0.6247 0.2500
Th2 0.1249 0.8751 0.7500
Mg5 0.2868 0.2033 0.2500
Mg6 0.0397 0.4565 0.7500
Mg7 0.2033 0.2868 0.7500
Mg8 0.9603 0.5435 0.2500